An optimized crystal structure of NpVF2, computed with PBE+U.

Calculated values
- DFT total energy: -29.80 eV per cell
- ρ: 8.090 g/cm3

Cell and atoms, written as extended XYZ:
```
4
Lattice="3.127 0.000 0.000 1.564 2.708 0.000 1.564 0.903 7.898" Properties=species:S:1:pos:R:3 pbc="T T T"
Np 0.000 0.000 0.000
F 1.564 0.903 5.034
F 4.691 2.708 2.864
V 3.127 1.806 3.949
```